# 1
Below is a relaxed structure of RbMoSe2Br, with properties calculated at the PBE-GGA level.

Cell and atoms, written as CIF:
```
data_RbMoSe2Br
_cell_length_a 4.9496
_cell_length_b 4.9496
_cell_length_c 5.6666
_cell_angle_alpha 90.00
_cell_angle_beta 90.00
_cell_angle_gamma 90.00
_space_group_name_H-M_alt 'P 1'
_space_group_IT_number 1
_space_group_name_Hall 'P 1'
loop_
_atom_site_label
_atom_site_fract_x
_atom_site_fract_y
_atom_site_fract_z
Mo1 0.0000 0.0000 0.0000
Se1 0.0000 0.5000 0.0000
Se2 0.5000 0.0000 0.0000
Br1 0.0000 0.0000 0.5000
Rb1 0.5000 0.5000 0.5000
```

# 2
Below is a relaxed structure of RbMoSeBr2, with properties calculated at the PBE-GGA level.

Cell and atoms, written as CIF:
```
data_RbMoSeBr2
_cell_length_a 6.1856
_cell_length_b 6.1856
_cell_length_c 6.0998
_cell_angle_alpha 90.00
_cell_angle_beta 90.00
_cell_angle_gamma 90.00
_space_group_name_H-M_alt 'P 1'
_space_group_IT_number 1
_space_group_name_Hall 'P 1'
loop_
_atom_site_label
_atom_site_fract_x
_atom_site_fract_y
_atom_site_fract_z
Mo1 0.5000 0.5000 0.5000
Se1 0.0000 0.0000 0.5000
Br1 0.0000 0.5000 0.0000
Br2 0.5000 0.0000 0.0000
Rb1 0.0000 0.0000 0.0000
```

no.,formation energy (no corrections) (eV per atom)
1,-0.5401
2,0.9316